# 1
{
  "formula": "Ho2PaCuS6",
  "functional": "PBE",
  "state": "relaxed",
  "space_group": "P4mm (99)",
  "formation_energy_uncorrected_ev_per_atom": -1.216,
  "lattice": [[-0.760, -2.622, -5.602], [-1.416, -5.526, 2.778], [-6.137, 1.611, 0.078]],
  "species": ["Ho", "Ho", "S", "Pa", "S", "S", "S", "S", "Cu", "S"],
  "frac_coords": [[0.990, 0.000, 0.500], [0.990, 0.500, 0.000], [0.745, 0.764, 0.236], [0.595, 0.500, 0.500], [0.745, 0.764, 0.764], [0.745, 0.236, 0.764], [0.745, 0.236, 0.236], [0.167, 0.500, 0.500], [0.541, 0.000, 0.000], [0.185, 0.000, 0.000]]
}

---

# 2
{
  "formula": "HoPaCuTc",
  "functional": "PBE",
  "state": "relaxed",
  "space_group": "F-43m (216)",
  "formation_energy_ev_per_atom": -0.067,
  "lattice": [[-4.416, 1.949, -0.563], [-1.960, 0.337, -4.434], [-3.765, -2.823, -1.213]],
  "species": ["Pa", "Tc", "Cu", "Ho"],
  "frac_coords": [[0.000, 0.000, 0.000], [0.750, 0.750, 0.750], [0.250, 0.250, 0.250], [0.500, 0.500, 0.500]]
}

---

Let's list total moment in order: 0.00, 0.00 μB/cell.